No. 1
This record from the Alexandria database describes a geometry-optimized NaSr2LaPt structure. The functional is PBE.

The calculation puts the total moment at 0.00 μB per formula unit. As for the formation enthalpy at 0 K: -420 meV/atom.

The space group is P4/mmm (No. 123) and the conventional cell measures 6.136, 6.136 and 5.576 Å, with angles of 90.00, 90.00 and 90.00 degrees. The distinct sites, in fractional coordinates, are Na at (0.000, 0.000, 0.000), Sr at (0.000, 0.500, 0.500), La at (0.500, 0.500, 0.000) and Pt at (0.500, 0.500, 0.500).



No. 2
This record from the Alexandria database describes a geometry-optimized NaSrLa2Pt structure. The functional is PBE.

The calculation puts the total moment at 0.00 μB per formula unit. As for the formation enthalpy at 0 K: -375 meV/atom. Its polymorph energy (0 for the lowest one) is 0.0 meV/atom.

The space group is P4/mmm (No. 123) and the conventional cell measures 5.705, 5.705 and 6.230 Å, with angles of 90.00, 90.00 and 90.00 degrees. The distinct sites, in fractional coordinates, are Na at (0.000, 0.000, 0.000), Sr at (0.500, 0.500, 0.000), La at (0.000, 0.500, 0.500) and Pt at (0.500, 0.500, 0.500).



No. 3
This record from the Alexandria database describes a geometry-optimized NaSrLa2Pt structure. The functional is PBE.

The calculation puts the total moment at 0.00 μB per formula unit. As for the formation enthalpy at 0 K: -293 meV/atom. Its polymorph energy (0 for the lowest one) is 81.6 meV/atom.

The space group is P4/mmm (No. 123) and the conventional cell measures 5.680, 5.680 and 5.964 Å, with angles of 90.00, 90.00 and 90.00 degrees. The distinct sites, in fractional coordinates, are Na at (0.000, 0.000, 0.000), Sr at (0.500, 0.500, 0.000), La at (0.000, 0.500, 0.500) and Pt at (0.000, 0.000, 0.500).



No. 4
This record from the Alexandria database describes a geometry-optimized NaLa2TcPt structure. The functional is PBE.

The calculation puts the total moment at 0.74 μB per formula unit. As for the formation enthalpy at 0 K: 1158 meV/atom.

The space group is P4/mmm (No. 123) and the conventional cell measures 5.502, 5.502 and 4.500 Å, with angles of 90.00, 90.00 and 90.00 degrees. The distinct sites, in fractional coordinates, are Na at (0.000, 0.000, 0.000), La at (0.000, 0.500, 0.000), Tc at (0.000, 0.000, 0.500) and Pt at (0.500, 0.500, 0.500).



No. 5
This record from the Alexandria database describes a geometry-optimized NaLaTePt2 structure. The functional is PBE.

The calculation puts the total moment at 0.00 μB per formula unit. As for the formation energy from raw total energies: 390 meV per atom.

The space group is P4/mmm (No. 123) and the conventional cell measures 4.766, 4.766 and 5.566 Å, with angles of 90.00, 90.00 and 90.00 degrees. The distinct sites, in fractional coordinates, are Na at (0.000, 0.000, 0.000), La at (0.000, 0.000, 0.500), Te at (0.500, 0.500, 0.500) and Pt at (0.000, 0.500, 0.000).



No. 6
This record from the Alexandria database describes a geometry-optimized NaLaZnPt structure. The functional is PBE.

The calculation puts the total moment at 0.00 μB per formula unit. As for the formation enthalpy at 0 K: -416 meV/atom.

The space group is F-43m (No. 216) and the conventional cell measures 7.156, 7.156 and 7.156 Å, with angles of 90.00, 90.00 and 90.00 degrees. The distinct sites, in fractional coordinates, are Na at (0.000, 0.000, 0.000), La at (0.000, 0.000, 0.500), Zn at (0.250, 0.250, 0.750) and Pt at (0.250, 0.250, 0.250).



No. 7
This record from the Alexandria database describes a geometry-optimized Na3LaPu2S6 structure. The functional is PBE.

The calculation puts the total moment at 10.00 μB per formula unit. As for the formation energy from raw total energies: -1637 meV per atom.

The space group is C2/m (No. 12) and the conventional cell measures 7.114, 12.323 and 7.050 Å, with angles of 90.00, 109.70 and 90.00 degrees. The distinct sites, in fractional coordinates, are Na at (0.000, 0.000, 0.000), Na at (0.000, 0.333, 0.000), La at (0.000, 0.500, 0.500), Pu at (0.000, 0.167, 0.500), S at (0.233, 0.000, 0.731) and S at (0.248, 0.328, 0.728).



No. 8
This record from the Alexandria database describes a geometry-optimized Na2LaPuS4 structure. The functional is PBE.

The calculation puts the total moment at 5.00 μB per formula unit. As for the formation energy from raw total energies: -1682 meV per atom.

The space group is P2/m (No. 10) and the conventional cell measures 7.064, 4.143 and 7.186 Å, with angles of 90.00, 109.99 and 90.00 degrees. The distinct sites, in fractional coordinates, are Na at (0.000, 0.000, 0.000), Na at (0.000, 0.500, 0.500), La at (0.500, 0.000, 0.500), Pu at (0.500, 0.500, 0.000), S at (0.266, 0.500, 0.248) and S at (0.273, 0.000, 0.767).